[1]
This record from Alexandria describes a relaxed AcSm2Sc crystal. The functional is PBE-GGA.

```
data_AcSm2Sc
_symmetry_space_group_name_H-M 'P 4/m m m'
_symmetry_Int_Tables_number 123
_symmetry_space_group_name_Hall '-P 4 2'
_cell_length_a 3.714
_cell_length_b 3.714
_cell_length_c 9.881
_cell_angle_alpha 90.00
_cell_angle_beta 90.00
_cell_angle_gamma 90.00
loop_
_atom_site_label
_atom_site_fract_x
_atom_site_fract_y
_atom_site_fract_z
Ac1 0.000 0.000 0.000
Sm1 0.500 0.500 0.279
Sc1 0.000 0.000 0.500
```

Summary:
- spin magnetization (μB/f.u.) = 0.0
- D(E_F) (states/eV per cell) = 8.45
- V (A^3/atom) = 34.07
- energy of formation (eV per atom) = 0.081
- polymorph energy (0 for the lowest one) (meV per atom) = 7
- total energy (eV/atom) = -4.89


[2]
This record from Alexandria describes a relaxed Tb5Dy2Sb4 crystal. The functional is PBE-GGA.

```
data_Tb5Dy2Sb4
_symmetry_space_group_name_H-M 'C 1 2/m 1'
_symmetry_Int_Tables_number 12
_cell_length_a 25.983
_cell_length_b 3.623
_cell_length_c 7.331
_cell_angle_alpha 90.00
_cell_angle_beta 91.34
_cell_angle_gamma 90.00
loop_
_symmetry_equiv_pos_as_xyz
'x,y,z'
'-x,-y,-z'
'-x,y,-z'
'x,-y,z'
'x+1/2,y+1/2,z'
'-x+1/2,-y+1/2,-z'
'-x+1/2,y+1/2,-z'
'x+1/2,-y+1/2,z'
loop_
_atom_site_label
_atom_site_fract_x
_atom_site_fract_y
_atom_site_fract_z
Tb1 0.000 0.000 0.000
Tb2 0.090 0.500 0.694
Tb3 0.140 0.500 0.162
Dy1 0.236 0.500 0.781
Sb1 0.032 0.500 0.320
Sb2 0.173 0.000 0.500
```

Summary:
- spin magnetization (μB/f.u.) = 0.0
- D(E_F) (states/eV per cell) = 24.08
- V (A^3/atom) = 31.36
- formation energy (no corrections) (eV per atom) = -0.44
- total energy (eV/atom) = -4.89


[3]
This record from Alexandria describes a relaxed TlAg3P crystal. The functional is PBE-GGA.

```
data_TlAg3P
_symmetry_space_group_name_H-M 'P m -3 m'
_symmetry_Int_Tables_number 221
_symmetry_space_group_name_Hall '-P 4 2 3'
_cell_length_a 5.219
_cell_length_b 5.219
_cell_length_c 5.219
_cell_angle_alpha 90.00
_cell_angle_beta 90.00
_cell_angle_gamma 90.00
loop_
_atom_site_label
_atom_site_fract_x
_atom_site_fract_y
_atom_site_fract_z
Tl1 0.000 0.000 0.000
Ag1 0.000 0.000 0.500
P1 0.500 0.500 0.500
```

Summary:
- spin magnetization (μB/f.u.) = 0.0
- D(E_F) (states/eV per cell) = 3.62
- V (A^3/atom) = 28.43
- energy of formation (eV per atom) = 1.157
- polymorph energy (0 for the lowest one) (meV per atom) = 991
- total energy (eV/atom) = -2.11


[4]
This record from Alexandria describes a relaxed CaReN3 crystal. The functional is PBE-GGA.

```
data_CaReN3
_symmetry_space_group_name_H-M 'C 1 m 1'
_symmetry_Int_Tables_number 8
_cell_length_a 11.280
_cell_length_b 3.496
_cell_length_c 3.692
_cell_angle_alpha 90.00
_cell_angle_beta 93.38
_cell_angle_gamma 90.00
loop_
_symmetry_equiv_pos_as_xyz
'x,y,z'
'x,-y,z'
'x+1/2,y+1/2,z'
'x+1/2,-y+1/2,z'
loop_
_atom_site_label
_atom_site_fract_x
_atom_site_fract_y
_atom_site_fract_z
Ca1 0.000 0.000 0.000
Re1 0.217 0.500 0.702
N1 0.076 0.500 0.436
N2 0.214 0.000 0.913
N3 0.339 0.500 0.429
```

Summary:
- spin magnetization (μB/f.u.) = 0.0
- D(E_F) (states/eV per cell) = 0.00
- V (A^3/atom) = 14.53
- formation energy (no corrections) (eV per atom) = -0.26
- total energy (eV/atom) = -8.14


[5]
This record from Alexandria describes a relaxed Ac2MnAlS6 crystal. The functional is PBE-GGA.

```
data_Ac2MnAlS6
_symmetry_space_group_name_H-M 'P 1 21/c 1'
_symmetry_Int_Tables_number 14
_cell_length_a 6.480
_cell_length_b 7.283
_cell_length_c 11.385
_cell_angle_alpha 90.00
_cell_angle_beta 124.21
_cell_angle_gamma 90.00
loop_
_symmetry_equiv_pos_as_xyz
'x,y,z'
'-x,-y,-z'
'-x,y+1/2,-z+1/2'
'x,-y+1/2,z+1/2'
loop_
_atom_site_label
_atom_site_fract_x
_atom_site_fract_y
_atom_site_fract_z
Ac1 0.217 0.099 0.249
Mn1 0.500 0.000 0.000
Al1 0.000 0.000 0.500
S1 0.159 0.183 0.959
S2 0.255 0.675 0.960
S3 0.336 0.503 0.254
```

Summary:
- spin magnetization (μB/f.u.) = 4.0
- V (A^3/atom) = 22.22
- formation energy (no corrections) (eV per atom) = -1.49
- total energy (eV/atom) = -6.08


[6]
This record from Alexandria describes a relaxed K2Tb2HfSe6 crystal. The functional is PBE-GGA.

```
data_K2Tb2HfSe6
_symmetry_space_group_name_H-M 'C 1 2/m 1'
_symmetry_Int_Tables_number 12
_cell_length_a 7.098
_cell_length_b 12.183
_cell_length_c 8.226
_cell_angle_alpha 90.00
_cell_angle_beta 107.19
_cell_angle_gamma 90.00
loop_
_symmetry_equiv_pos_as_xyz
'x,y,z'
'-x,-y,-z'
'-x,y,-z'
'x,-y,z'
'x+1/2,y+1/2,z'
'-x+1/2,-y+1/2,-z'
'-x+1/2,y+1/2,-z'
'x+1/2,-y+1/2,z'
loop_
_atom_site_label
_atom_site_fract_x
_atom_site_fract_y
_atom_site_fract_z
K1 0.000 0.171 0.000
Tb1 0.000 0.333 0.500
Hf1 0.000 0.000 0.500
Se1 0.227 0.157 0.699
Se2 0.245 0.000 0.302
```

Summary:
- spin magnetization (μB/f.u.) = 0.0
- D(E_F) (states/eV per cell) = 0.00
- V (A^3/atom) = 30.89
- formation energy (no corrections) (eV per atom) = -1.65
- total energy (eV/atom) = -5.50


[7]
This record from Alexandria describes a relaxed NiP2 crystal. The functional is PBE-GGA.

```
data_NiP2
_symmetry_space_group_name_H-M 'C m m m'
_symmetry_Int_Tables_number 65
_symmetry_space_group_name_Hall '-C 2 2'
_cell_length_a 4.861
_cell_length_b 7.590
_cell_length_c 2.478
_cell_angle_alpha 90.00
_cell_angle_beta 90.00
_cell_angle_gamma 90.00
loop_
_atom_site_label
_atom_site_fract_x
_atom_site_fract_y
_atom_site_fract_z
Ni1 0.000 0.000 0.000
P1 0.250 0.250 0.000
```

Summary:
- spin magnetization (μB/f.u.) = 0.0
- D(E_F) (states/eV per cell) = 3.57
- V (A^3/atom) = 15.24
- energy of formation (eV per atom) = 0.116
- total energy (eV/atom) = -5.42


[8]
This record from Alexandria describes a relaxed Al2MoOs crystal. The functional is PBE-GGA.

```
data_Al2MoOs
_symmetry_space_group_name_H-M 'R 3 m'
_symmetry_Int_Tables_number 160
_symmetry_space_group_name_Hall 'R 3 -2"'
_cell_length_a 2.8380
_cell_length_b 2.8380
_cell_length_c 26.3604
_cell_angle_alpha 90.00
_cell_angle_beta 90.00
_cell_angle_gamma 120.00
loop_
_atom_site_label
_atom_site_fract_x
_atom_site_fract_y
_atom_site_fract_z
Al1 0.0000 0.0000 0.0000
Al2 0.0000 0.0000 0.2455
Mo1 0.0000 0.0000 0.7514
Os1 0.0000 0.0000 0.4982
```

Summary:
- spin magnetization (μB/f.u.) = 0.0
- D(E_F) (states/eV per cell) = 6.77
- V (A^3/atom) = 15.32
- energy of formation (eV per atom) = -0.129
- polymorph energy (0 for the lowest one) (meV per atom) = 195
- total energy (eV/atom) = -7.52


[9]
This record from Alexandria describes a relaxed PmErRuRh crystal. The functional is PBE-GGA.

```
data_PmErRuRh
_symmetry_space_group_name_H-M 'F -4 3 m'
_symmetry_Int_Tables_number 216
_symmetry_space_group_name_Hall 'F -4 2 3'
_cell_length_a 6.888
_cell_length_b 6.888
_cell_length_c 6.888
_cell_angle_alpha 90.00
_cell_angle_beta 90.00
_cell_angle_gamma 90.00
loop_
_atom_site_label
_atom_site_fract_x
_atom_site_fract_y
_atom_site_fract_z
Pm1 0.000 0.000 0.000
Er1 0.000 0.000 0.500
Ru1 0.250 0.250 0.750
Rh1 0.250 0.250 0.250
```

Summary:
- spin magnetization (μB/f.u.) = 0.0
- D(E_F) (states/eV per cell) = 10.41
- V (A^3/atom) = 20.42
- energy of formation (eV per atom) = -0.536
- polymorph energy (0 for the lowest one) (meV per atom) = 19
- total energy (eV/atom) = -7.02


[10]
This record from Alexandria describes a relaxed NdDyErLu crystal. The functional is PBE-GGA.

```
data_NdDyErLu
_symmetry_space_group_name_H-M 'F -4 3 m'
_symmetry_Int_Tables_number 216
_symmetry_space_group_name_Hall 'F -4 2 3'
_cell_length_a 7.995
_cell_length_b 7.995
_cell_length_c 7.995
_cell_angle_alpha 90.00
_cell_angle_beta 90.00
_cell_angle_gamma 90.00
loop_
_atom_site_label
_atom_site_fract_x
_atom_site_fract_y
_atom_site_fract_z
Nd1 0.000 0.000 0.000
Dy1 0.000 0.000 0.500
Er1 0.250 0.250 0.750
Lu1 0.250 0.250 0.250
```

Summary:
- spin magnetization (μB/f.u.) = 0.0
- D(E_F) (states/eV per cell) = 24.39
- V (A^3/atom) = 31.94
- energy of formation (eV per atom) = 0.109
- total energy (eV/atom) = -4.50


[11]
This record from Alexandria describes a relaxed Na3GaSb crystal. The functional is PBE-GGA.

```
data_Na3GaSb
_symmetry_space_group_name_H-M 'I m a 2'
_symmetry_Int_Tables_number 46
_cell_length_a 10.325
_cell_length_b 8.910
_cell_length_c 6.580
_cell_angle_alpha 90.00
_cell_angle_beta 90.00
_cell_angle_gamma 90.00
loop_
_symmetry_equiv_pos_as_xyz
'x,y,z'
'-x,-y,z'
'-x+1/2,y,z'
'x+1/2,-y,z'
'x+1/2,y+1/2,z+1/2'
'-x+1/2,-y+1/2,z+1/2'
'-x,y+1/2,z+1/2'
'x,-y+1/2,z+1/2'
loop_
_atom_site_label
_atom_site_fract_x
_atom_site_fract_y
_atom_site_fract_z
Na1 0.009 0.249 0.000
Na2 0.250 0.025 0.749
Ga1 0.250 0.688 0.751
Sb1 0.250 0.107 0.250
```

Summary:
- spin magnetization (μB/f.u.) = 0.0
- D(E_F) (states/eV per cell) = 6.57
- V (A^3/atom) = 30.27
- formation energy (no corrections) (eV per atom) = -0.14
- polymorph energy (0 for the lowest one) (meV per atom) = 0
- total energy (eV/atom) = -2.36


[12]
This record from Alexandria describes a relaxed ScGaMoW2 crystal. The functional is PBE-GGA.

```
data_ScGaMoW2
_symmetry_space_group_name_H-M 'P 4/m m m'
_symmetry_Int_Tables_number 123
_symmetry_space_group_name_Hall '-P 4 2'
_cell_length_a 4.759
_cell_length_b 4.759
_cell_length_c 4.827
_cell_angle_alpha 90.00
_cell_angle_beta 90.00
_cell_angle_gamma 90.00
loop_
_atom_site_label
_atom_site_fract_x
_atom_site_fract_y
_atom_site_fract_z
Sc1 0.000 0.000 0.000
Ga1 0.500 0.500 0.000
Mo1 0.500 0.500 0.500
W1 0.000 0.500 0.500
```

Summary:
- spin magnetization (μB/f.u.) = 0.0
- D(E_F) (states/eV per cell) = 6.64
- V (A^3/atom) = 21.86
- energy of formation (eV per atom) = 1.285
- total energy (eV/atom) = -7.93


[13]
This record from Alexandria describes a relaxed Al2SnHg crystal. The functional is PBE-GGA.

```
data_Al2SnHg
_symmetry_space_group_name_H-M 'R -3 m'
_symmetry_Int_Tables_number 166
_symmetry_space_group_name_Hall '-R 3 2"'
_cell_length_a 3.4117
_cell_length_b 3.4117
_cell_length_c 26.1926
_cell_angle_alpha 90.00
_cell_angle_beta 90.00
_cell_angle_gamma 120.00
loop_
_atom_site_label
_atom_site_fract_x
_atom_site_fract_y
_atom_site_fract_z
Al1 0.0000 0.0000 0.2451
Sn1 0.0000 0.0000 0.0000
Hg1 0.0000 0.0000 0.5000
```

Summary:
- spin magnetization (μB/f.u.) = 0.0
- D(E_F) (states/eV per cell) = 4.83
- V (A^3/atom) = 22.00
- energy of formation (eV per atom) = 0.171
- polymorph energy (0 for the lowest one) (meV per atom) = 5
- total energy (eV/atom) = -2.78


[14]
This record from Alexandria describes a relaxed Ac3TeRuBr crystal. The functional is PBE-GGA.

```
data_Ac3TeRuBr
_symmetry_space_group_name_H-M 'P 1 21/m 1'
_symmetry_Int_Tables_number 11
_cell_length_a 8.569
_cell_length_b 4.499
_cell_length_c 11.344
_cell_angle_alpha 90.00
_cell_angle_beta 95.55
_cell_angle_gamma 90.00
loop_
_symmetry_equiv_pos_as_xyz
'x,y,z'
'-x,-y,-z'
'-x,y+1/2,-z'
'x,-y+1/2,z'
loop_
_atom_site_label
_atom_site_fract_x
_atom_site_fract_y
_atom_site_fract_z
Ac1 0.034 0.250 0.204
Ac2 0.203 0.750 0.504
Ac3 0.379 0.250 0.799
Te1 0.414 0.250 0.332
Ru1 0.090 0.250 0.668
Br1 0.287 0.750 0.993
```

Summary:
- spin magnetization (μB/f.u.) = 0.0
- D(E_F) (states/eV per cell) = 3.31
- V (A^3/atom) = 36.28
- formation energy (no corrections) (eV per atom) = -1.03
- total energy (eV/atom) = -5.43


[15]
This record from Alexandria describes a relaxed BaZrHg2 crystal. The functional is PBE-GGA.

```
data_BaZrHg2
_symmetry_space_group_name_H-M 'C m m m'
_symmetry_Int_Tables_number 65
_symmetry_space_group_name_Hall '-C 2 2'
_cell_length_a 7.940
_cell_length_b 7.960
_cell_length_c 3.547
_cell_angle_alpha 90.00
_cell_angle_beta 90.00
_cell_angle_gamma 90.00
loop_
_atom_site_label
_atom_site_fract_x
_atom_site_fract_y
_atom_site_fract_z
Ba1 0.000 0.000 0.000
Zr1 0.000 0.500 0.000
Hg1 0.250 0.250 0.500
```

Summary:
- spin magnetization (μB/f.u.) = 1.2
- D(E_F) (states/eV per cell) = 8.45
- V (A^3/atom) = 28.02
- energy of formation (eV per atom) = -0.025
- total energy (eV/atom) = -2.79


[16]
This record from Alexandria describes a relaxed TmInRu4 crystal. The functional is PBE-GGA.

```
data_TmInRu4
_symmetry_space_group_name_H-M 'F -4 3 m'
_symmetry_Int_Tables_number 216
_symmetry_space_group_name_Hall 'F -4 2 3'
_cell_length_a 7.428
_cell_length_b 7.428
_cell_length_c 7.428
_cell_angle_alpha 90.00
_cell_angle_beta 90.00
_cell_angle_gamma 90.00
loop_
_atom_site_label
_atom_site_fract_x
_atom_site_fract_y
_atom_site_fract_z
Tm1 0.000 0.000 0.000
In1 0.250 0.250 0.250
Ru1 0.125 0.125 0.625
```

Summary:
- spin magnetization (μB/f.u.) = 0.0
- D(E_F) (states/eV per cell) = 36.41
- V (A^3/atom) = 17.07
- energy of formation (eV per atom) = -0.072
- total energy (eV/atom) = -7.46


[17]
This record from Alexandria describes a relaxed ScInBr2 crystal. The functional is PBE-GGA.

```
data_ScInBr2
_symmetry_space_group_name_H-M 'P m m m'
_symmetry_Int_Tables_number 47
_cell_length_a 3.616
_cell_length_b 4.751
_cell_length_c 5.988
_cell_angle_alpha 90.00
_cell_angle_beta 90.00
_cell_angle_gamma 90.00
loop_
_symmetry_equiv_pos_as_xyz
'x,y,z'
'-x,-y,-z'
'-x,-y,z'
'x,y,-z'
'x,-y,-z'
'-x,y,z'
'-x,y,-z'
'x,-y,z'
loop_
_atom_site_label
_atom_site_fract_x
_atom_site_fract_y
_atom_site_fract_z
Sc1 0.000 0.000 0.000
In1 0.500 0.000 0.500
Br1 0.000 0.500 0.500
Br2 0.500 0.500 0.000
```

Summary:
- spin magnetization (μB/f.u.) = 0.0
- D(E_F) (states/eV per cell) = 1.64
- V (A^3/atom) = 25.72
- formation energy (no corrections) (eV per atom) = -0.57
- polymorph energy (0 for the lowest one) (meV per atom) = 416
- total energy (eV/atom) = -3.67


[18]
This record from Alexandria describes a relaxed KLaFeMo2 crystal. The functional is PBE-GGA.

```
data_KLaFeMo2
_symmetry_space_group_name_H-M 'P 4/m m m'
_symmetry_Int_Tables_number 123
_symmetry_space_group_name_Hall '-P 4 2'
_cell_length_a 4.593
_cell_length_b 4.593
_cell_length_c 5.475
_cell_angle_alpha 90.00
_cell_angle_beta 90.00
_cell_angle_gamma 90.00
loop_
_atom_site_label
_atom_site_fract_x
_atom_site_fract_y
_atom_site_fract_z
K1 0.000 0.000 0.000
La1 0.500 0.500 0.000
Fe1 0.000 0.000 0.500
Mo1 0.000 0.500 0.500
```

Summary:
- spin magnetization (μB/f.u.) = 0.6
- D(E_F) (states/eV per cell) = 8.22
- V (A^3/atom) = 23.10
- energy of formation (eV per atom) = 1.194
- total energy (eV/atom) = -6.04